Computed, not measured: an optimized crystal structure of LiY2Nb at the GGA-PBE level of DFT.

Values from the calculation:
DFT total energy in eV/atom: -5.710

a = 7.262 Å, b = 7.262 Å, c = 7.262 Å
α = 90.00°, β = 90.00°, γ = 90.00°
Fractional positions:
Li (0.000, 0.000, 0.000)
Li (0.000, 0.500, 0.500)
Li (0.500, 0.000, 0.500)
Li (0.500, 0.500, 0.000)
Y (0.000, 0.000, 0.500)
Y (0.000, 0.500, 0.000)
Y (0.250, 0.250, 0.750)
Y (0.250, 0.750, 0.250)
Y (0.500, 0.000, 0.000)
Y (0.500, 0.500, 0.500)
Y (0.750, 0.250, 0.250)
Y (0.750, 0.750, 0.750)
Nb (0.250, 0.250, 0.250)
Nb (0.250, 0.750, 0.750)
Nb (0.750, 0.250, 0.750)
Nb (0.750, 0.750, 0.250)

---

Computed, not measured: an optimized crystal structure of Li2YNb at the GGA-PBE level of DFT.

Values from the calculation:
DFT total energy in eV/atom: -4.483

a = 6.952 Å, b = 6.952 Å, c = 6.952 Å
α = 90.00°, β = 90.00°, γ = 90.00°
Fractional positions:
Li (0.000, 0.000, 0.000)
Li (0.000, 0.500, 0.500)
Li (0.250, 0.250, 0.250)
Li (0.250, 0.750, 0.750)
Li (0.500, 0.000, 0.500)
Li (0.500, 0.500, 0.000)
Li (0.750, 0.250, 0.750)
Li (0.750, 0.750, 0.250)
Y (0.250, 0.250, 0.750)
Y (0.250, 0.750, 0.250)
Y (0.750, 0.250, 0.250)
Y (0.750, 0.750, 0.750)
Nb (0.000, 0.000, 0.500)
Nb (0.000, 0.500, 0.000)
Nb (0.500, 0.000, 0.000)
Nb (0.500, 0.500, 0.500)

---

Computed, not measured: an optimized crystal structure of LiYNb at the GGA-PBE level of DFT.

Values from the calculation:
DFT total energy in eV/atom: -4.774
Excess energy over the best structure of this formula in the dataset in meV/atom: 149

a = 6.883 Å, b = 6.883 Å, c = 6.883 Å
α = 90.00°, β = 90.00°, γ = 90.00°
Fractional positions:
Li (0.000, 0.000, 0.000)
Li (0.000, 0.500, 0.500)
Li (0.500, 0.000, 0.500)
Li (0.500, 0.500, 0.000)
Y (0.250, 0.250, 0.250)
Y (0.250, 0.750, 0.750)
Y (0.750, 0.250, 0.750)
Y (0.750, 0.750, 0.250)
Nb (0.000, 0.000, 0.500)
Nb (0.000, 0.500, 0.000)
Nb (0.500, 0.000, 0.000)
Nb (0.500, 0.500, 0.500)

---

Computed, not measured: an optimized crystal structure of LiNbZn2 at the GGA-PBE level of DFT.

Values from the calculation:
DFT total energy in eV/atom: -3.453

a = 6.147 Å, b = 6.147 Å, c = 6.147 Å
α = 90.00°, β = 90.00°, γ = 90.00°
Fractional positions:
Li (0.000, 0.000, 0.000)
Li (0.000, 0.500, 0.500)
Li (0.500, 0.000, 0.500)
Li (0.500, 0.500, 0.000)
Nb (0.250, 0.250, 0.250)
Nb (0.250, 0.750, 0.750)
Nb (0.750, 0.250, 0.750)
Nb (0.750, 0.750, 0.250)
Zn (0.000, 0.000, 0.500)
Zn (0.000, 0.500, 0.000)
Zn (0.250, 0.250, 0.750)
Zn (0.250, 0.750, 0.250)
Zn (0.500, 0.000, 0.000)
Zn (0.500, 0.500, 0.500)
Zn (0.750, 0.250, 0.250)
Zn (0.750, 0.750, 0.750)